1.
{"formula": "TbMgCl6", "functional": "PBE-GGA", "state": "relaxed", "raw_formation_energy_ev_per_atom": -1.65, "dft_energy_ev_per_cell": -30.49, "density_g_cm3": 2.4, "cell": [[0.000, 5.141, 5.141], [5.141, 0.000, 5.141], [5.141, 5.141, 0.000]], "species": ["Tb", "Mg", "Cl", "Cl", "Cl", "Cl", "Cl", "Cl"], "frac_coords": [[0.000, 0.000, 0.000], [0.500, 0.500, 0.500], [0.257, 0.257, 0.743], [0.257, 0.743, 0.257], [0.257, 0.743, 0.743], [0.743, 0.257, 0.257], [0.743, 0.257, 0.743], [0.743, 0.743, 0.257]]}

2.
{"formula": "YAlAg", "functional": "PBE-GGA", "state": "relaxed", "dft_energy_ev_per_cell": -28.62, "density_g_cm3": 5.7, "formation_enthalpy_0k_ev_per_atom": -0.4181, "cell": [[5.276, -2.288, 0.000], [5.276, 2.288, 0.000], [-4.775, 0.000, 5.424]], "species": ["Y", "Y", "Al", "Al", "Ag", "Ag"], "frac_coords": [[0.040, 0.040, 0.295], [0.960, 0.960, 0.705], [0.339, 0.339, 0.889], [0.661, 0.661, 0.111], [0.327, 0.327, 0.276], [0.673, 0.673, 0.724]]}

3.
{"formula": "CaVSeN2", "functional": "PBE-GGA", "state": "relaxed", "raw_formation_energy_ev_per_atom": 1.68, "e_above_lowest_polymorph_mev_per_atom": 2143, "dft_energy_ev_per_cell": -22.84, "density_g_cm3": 3.5, "cell": [[4.161, 0.000, 0.000], [0.000, 4.161, 0.000], [0.000, 0.000, 5.463]], "species": ["Ca", "V", "Se", "N", "N"], "frac_coords": [[0.000, 0.000, 0.000], [0.500, 0.500, 0.500], [0.000, 0.000, 0.500], [0.000, 0.500, 0.000], [0.500, 0.000, 0.000]]}

4.
{"formula": "Y2NiBr", "functional": "PBE-GGA", "state": "relaxed", "raw_formation_energy_ev_per_atom": -0.78, "e_above_lowest_polymorph_mev_per_atom": 20, "dft_energy_ev_per_cell": -23.52, "density_g_cm3": 5.1, "cell": [[1.975, 1.141, 7.614], [-1.975, 1.141, 7.614], [0.000, -2.281, 7.614]], "species": ["Y", "Y", "Ni", "Br"], "frac_coords": [[0.000, 0.000, 0.000], [0.208, 0.208, 0.208], [0.604, 0.604, 0.604], [0.773, 0.773, 0.773]]}